Compound: CuAg2Pt
Source: Alexandria
Functional: PBE
Structure: relaxed

Cell and atoms, written as extended XYZ:
```
4
Lattice="1.4547 -2.3553 0.0000 1.4547 2.3553 0.0000 0.0000 0.0000 9.3648" Properties=species:S:1:pos:R:3 pbc="T T T"
Cu 0.0000 0.0000 0.0000
Ag 0.0000 0.0000 4.7610
Ag 1.4547 0.0000 2.2491
Pt 1.4547 0.0000 7.2264
```

## Properties
SG = Cmm2
E_form = 0.046 eV/atom
E above lowest polymorph = 65 meV/atom

=====

Compound: Sm8Tl2Hg
Source: Alexandria
Functional: PBE
Structure: relaxed

Cell and atoms, written as extended XYZ:
```
11
Lattice="8.3117 -2.7321 0.0000 8.3117 2.7321 0.0000 -4.5775 0.0000 7.4936" Properties=species:S:1:pos:R:3 pbc="T T T"
Sm 0.1298 0.0000 1.6335
Sm -0.8842 0.0000 5.0936
Sm 2.7988 0.0000 4.1628
Sm 6.5653 0.0000 0.4182
Sm 5.4806 0.0000 7.0754
Sm 9.2471 0.0000 3.3308
Sm 12.9301 0.0000 2.4000
Sm 11.9162 0.0000 5.8601
Tl 3.2216 0.0000 0.9103
Tl 8.8243 0.0000 6.5833
Hg 6.0230 0.0000 3.7468
```

## Properties
SG = C2/m
E_form = -0.206 eV/atom
E above lowest polymorph = 0 meV/atom

=====

Compound: Ca2Fe2N3
Source: Alexandria
Functional: PBE
Structure: relaxed

Cell and atoms, written as extended XYZ:
```
7
Lattice="4.9452 -1.6419 0.0000 4.9452 1.6419 0.0000 -1.5624 0.0000 5.3843" Properties=species:S:1:pos:R:3 pbc="T T T"
Ca 0.5549 0.0000 1.7029
Ca 7.7730 0.0000 3.6813
Fe 3.2037 0.0000 0.4704
Fe 5.1243 0.0000 4.9139
N 0.8422 0.0000 4.0962
N 4.9452 0.0000 0.0000
N 7.4858 0.0000 1.2881
```

## Properties
SG = C2/m
Raw formation energy = -3.66 eV/f.u.

=====

Compound: Zr2ReAu
Source: Alexandria
Functional: PBE
Structure: relaxed

Cell and atoms, written as extended XYZ:
```
4
Lattice="5.2763 -1.7515 0.0000 5.2763 1.7515 0.0000 -2.0046 0.0000 4.1495" Properties=species:S:1:pos:R:3 pbc="T T T"
Zr 0.0000 0.0000 0.0000
Zr 1.0048 0.0000 3.0452
Re 7.1838 0.0000 0.9251
Au 4.0412 0.0000 1.9608
```

## Properties
SG = Cm
E_form = -0.158 eV/atom
E above lowest polymorph = 254 meV/atom

=====

Compound: BaTl2Se
Source: Alexandria
Functional: PBE
Structure: relaxed

Cell and atoms, written as extended XYZ:
```
4
Lattice="-2.5287 2.5287 5.0227 2.5287 -2.5287 5.0227 2.5287 2.5287 -5.0227" Properties=species:S:1:pos:R:3 pbc="T T T"
Ba 0.0000 0.0000 0.0000
Tl 0.0000 0.0000 5.0227
Tl 0.0000 2.5287 2.5113
Se 2.5287 0.0000 2.5113
```

## Properties
SG = I-4m2
Raw formation energy = -2.48 eV/f.u.

=====

Compound: BaTa2Au
Source: Alexandria
Functional: PBE
Structure: relaxed

Cell and atoms, written as extended XYZ:
```
4
Lattice="3.1049 0.0000 0.0000 0.0000 5.3072 0.0000 0.0000 0.0000 5.4906" Properties=species:S:1:pos:R:3 pbc="T T T"
Ba 0.0000 0.0000 0.0000
Ta 0.0000 2.6536 2.7453
Ta 1.5525 0.0000 2.7453
Au 1.5525 2.6536 0.0000
```

## Properties
SG = Pmmm
E_form = 0.785 eV/atom
E above lowest polymorph = 484 meV/atom

=====

Compound: BeIrBr
Source: Alexandria
Functional: PBE
Structure: relaxed

Cell and atoms, written as extended XYZ:
```
3
Lattice="0.0000 2.9296 2.9296 2.9296 0.0000 2.9296 2.9296 2.9296 0.0000" Properties=species:S:1:pos:R:3 pbc="T T T"
Be 0.0000 0.0000 0.0000
Ir 1.4648 1.4648 1.4648
Br 2.9296 2.9296 2.9296
```

## Properties
SG = F-43m
E above lowest polymorph = 1002 meV/atom
Raw formation energy = 2.11 eV/f.u.

=====

Compound: LaIn6Au12
Source: Alexandria
Functional: PBE
Structure: relaxed

Cell and atoms, written as extended XYZ:
```
19
Lattice="6.2139 3.5876 3.1304 -6.2139 3.5876 3.1304 0.0000 -7.1752 3.1304" Properties=species:S:1:pos:R:3 pbc="T T T"
La 0.0000 0.0000 0.0000
In 0.0000 -2.9036 4.0128
In -2.5146 1.4518 4.0128
In -2.5146 -1.4518 5.3785
In 2.5146 1.4518 4.0128
In 2.5146 -1.4518 5.3785
In 0.0000 2.9036 5.3785
Au -1.5127 -0.8733 2.5591
Au -2.4070 -4.1690 4.6956
Au -4.8139 0.0000 4.6956
Au 1.5127 -0.8734 2.5591
Au 0.0000 1.7467 2.5591
Au 2.4070 -4.1690 4.6956
Au -2.4070 4.1690 4.6956
Au 0.0000 -1.7467 6.8322
Au -1.5127 0.8734 6.8322
Au 4.8139 0.0000 4.6956
Au 2.4070 4.1690 4.6956
Au 1.5127 0.8734 6.8321
```

## Properties
SG = R-3m
E_form = -0.218 eV/atom

=====

Compound: LiAc2MgHg6
Source: Alexandria
Functional: PBE
Structure: relaxed

Cell and atoms, written as extended XYZ:
```
10
Lattice="7.1579 0.0000 0.0000 3.3995 6.3176 0.0000 3.3753 2.0675 6.0409" Properties=species:S:1:pos:R:3 pbc="T T T"
Li 0.0000 0.0000 0.0000
Ac 2.8586 1.7025 1.2314
Ac 11.0741 6.6827 4.8096
Mg 6.9664 4.1926 3.0205
Hg 4.5043 3.4939 4.1042
Hg 7.4229 6.7399 4.0573
Hg 5.1852 4.5985 0.9172
Hg 8.7475 3.7866 5.1237
Hg 6.5098 1.6452 1.9836
Hg 9.4284 4.8912 1.9368
```

## Properties
SG = P-1
E_form = -0.302 eV/atom

=====

Compound: CePS4Br
Source: Alexandria
Functional: PBE
Structure: relaxed

Cell and atoms, written as extended XYZ:
```
14
Lattice="5.5394 -4.3729 0.0000 5.5394 4.3729 0.0000 -1.8972 0.0000 7.6146" Properties=species:S:1:pos:R:3 pbc="T T T"
Ce 2.1947 0.0000 0.9620
Ce 6.9870 0.0000 6.6526
P 2.6087 0.0000 5.5474
P 6.5730 0.0000 2.0671
S 1.9718 1.5398 6.8235
S 1.5809 0.0000 3.8122
S 4.5692 0.0000 2.3567
S 7.2098 1.5398 0.7910
S 1.9718 -1.5398 6.8235
S 4.6125 0.0000 5.2578
S 7.6007 0.0000 3.8024
S 7.2098 -1.5398 0.7910
Br -1.2173 0.0000 6.0423
Br 10.3990 0.0000 1.5723
```

## Properties
SG = C2/m
Raw formation energy = -5.92 eV/f.u.

=====

Compound: La5IrAu2N
Source: Alexandria
Functional: PBE
Structure: relaxed

Cell and atoms, written as extended XYZ:
```
18
Lattice="2.0896 -9.1156 0.0000 2.0896 9.1156 0.0000 0.0000 0.0000 13.4352" Properties=species:S:1:pos:R:3 pbc="T T T"
La 2.0896 9.0580 6.7176
La 2.0896 6.4850 9.7998
La 2.0896 5.7868 1.4896
La 2.0896 5.1559 5.3988
La 2.0896 0.7510 9.8905
La 2.0896 -0.7510 3.1729
La 2.0896 -5.1559 12.1164
La 2.0896 -5.7868 8.2072
La 2.0896 -6.4850 3.0822
La 2.0896 -9.0580 0.0000
Ir 2.0896 3.7184 10.1664
Ir 2.0896 -3.7184 3.4488
Au 2.0896 2.4018 0.6713
Au 2.0896 1.9683 5.4477
Au 2.0896 -1.9683 12.1653
Au 2.0896 -2.4018 7.3890
N 2.0896 8.2161 2.0364
N 2.0896 -8.2161 8.7540
```

## Properties
SG = Cmc2_1
Raw formation energy = -7.80 eV/f.u.

=====

Compound: CdCu2As2
Source: Alexandria
Functional: PBE
Structure: relaxed

Cell and atoms, written as extended XYZ:
```
5
Lattice="-1.9489 1.9489 5.8819 1.9489 -1.9489 5.8819 1.9489 1.9489 -5.8819" Properties=species:S:1:pos:R:3 pbc="T T T"
Cd 0.0000 0.0000 0.0000
Cu 0.0000 0.0000 4.6639
Cu 0.0000 0.0000 7.0999
As 1.9489 0.0000 2.9409
As 0.0000 1.9489 2.9409
```

## Properties
SG = I4/mmm
E_form = 0.181 eV/atom
E above lowest polymorph = 75 meV/atom

=====

Magnetic moment (μB/cell)
0.000, 0.000, 0.000, 0.000, 0.000, 0.000, 0.000, 0.000, 0.000, 0.263, 0.000, 0.000